# FeAs2Au

A relaxed FeAs2Au crystal (PBE, Alexandria via LeMat-Bulk).

abc: 8.1280 8.1280 8.1280
angles: 22.14 22.14 22.14
Closest atoms and distances in Å follow each position.
Fractional positions:
As  0.0142  0.0142  0.0142  3 Fe 2.44
As  0.4858  0.4858  0.4858  3 Fe 2.44
Au  0.2500  0.2500  0.2500  6 As 2.94, 6 Au 3.12
Fe  0.7500  0.7500  0.7500  6 As 2.44

Properties
- mass density (Mg/m³) = 10.0
- E above lowest polymorph (kJ/mol of atoms) = 2.7
- formation energy from the elements (eV per formula unit) = 0.4
- E (eV per atom) = -5.162